P:
Compound: LiFeAu3
Source: Alexandria via LeMat-Bulk
Functional: GGA-PBE
Structure: optimized geometry

* mass density: 9.28 g cm⁻³
* symmetry: Pm-3m, No. 221

Unit cell a=4.8910 b=4.8910 c=4.8910 alpha=90.00 beta=90.00 gamma=90.00
Last column: nearest neighbours and their distance in Å.
Element x y z (fractional)
Au 0.0000 0.5000 0.0000  2 Fe 2.45
Au 0.0000 0.0000 0.5000  2 Fe 2.45
Au 0.5000 0.0000 0.0000  2 Fe 2.45
Fe 0.0000 0.0000 0.0000  6 Au 2.45
Li 0.5000 0.5000 0.5000  12 Au 3.46



Q:
Compound: LiFeAu3
Source: Alexandria via LeMat-Bulk
Functional: GGA-PBE
Structure: optimized geometry

* mass density: 12.44 g cm⁻³
* symmetry: Pm-3m, No. 221

Unit cell a=4.4351 b=4.4351 c=4.4351 alpha=90.00 beta=90.00 gamma=90.00
Last column: nearest neighbours and their distance in Å.
Element x y z (fractional)
Au 0.0000 0.5000 0.0000  2 Li 2.22
Au 0.0000 0.0000 0.5000  2 Li 2.22
Au 0.5000 0.0000 0.0000  2 Li 2.22
Fe 0.5000 0.5000 0.5000  12 Au 3.14
Li 0.0000 0.0000 0.0000  6 Au 2.22



Least stable structure: Q



P:
Compound: Li2FeAu2
Source: Alexandria via LeMat-Bulk
Functional: GGA-PBE
Structure: optimized geometry

* mass density: 10.44 g cm⁻³
* symmetry: P4/mbm, No. 127

Unit cell a=7.2851 b=7.2851 c=2.7797 alpha=90.00 beta=90.00 gamma=90.00
Last column: nearest neighbours and their distance in Å.
Element x y z (fractional)
Au 0.1812 0.6812 0.5000  6 Li 2.49-2.63, 2 Au 2.78
Au 0.6812 0.8188 0.5000  6 Li 2.49-2.63, 2 Au 2.78
Au 0.8188 0.3188 0.5000  6 Li 2.49-2.63, 2 Au 2.78
Au 0.3188 0.1812 0.5000  6 Li 2.49-2.63, 2 Au 2.78
Fe 0.0000 0.0000 0.0000  2 Fe 2.78, 4 Li 2.91, 8 Au 3.01
Fe 0.5000 0.5000 0.0000  2 Fe 2.78, 4 Li 2.91, 8 Au 3.01
Li 0.3817 0.8817 0.0000  1 Li 2.44, 6 Au 2.49-2.63
Li 0.8817 0.6183 0.0000  1 Li 2.44, 6 Au 2.49-2.63
Li 0.6183 0.1183 0.0000  1 Li 2.44, 6 Au 2.49-2.63
Li 0.1183 0.3817 0.0000  1 Li 2.44, 6 Au 2.49-2.63



Q:
Compound: Li2FeAu2
Source: Alexandria via LeMat-Bulk
Functional: GGA-PBE
Structure: optimized geometry

* mass density: 9.71 g cm⁻³
* symmetry: P4/mbm, No. 127

Unit cell a=7.0455 b=7.0455 c=3.1945 alpha=90.00 beta=90.00 gamma=90.00
Last column: nearest neighbours and their distance in Å.
Element x y z (fractional)
Au 0.3487 0.8487 0.0000  6 Li 2.55-2.65, 2 Fe 2.68
Au 0.8487 0.6513 0.0000  6 Li 2.55-2.65, 2 Fe 2.68
Au 0.6513 0.1513 0.0000  6 Li 2.55-2.65, 2 Fe 2.68
Au 0.1513 0.3487 0.0000  6 Li 2.55-2.65, 2 Fe 2.68
Fe 0.0000 0.0000 0.0000  4 Au 2.68
Fe 0.5000 0.5000 0.0000  4 Au 2.68
Li 0.1489 0.6489 0.5000  6 Au 2.55-2.65
Li 0.6489 0.8511 0.5000  6 Au 2.55-2.65
Li 0.8511 0.3511 0.5000  6 Au 2.55-2.65
Li 0.3511 0.1489 0.5000  6 Au 2.55-2.65



Least stable structure: Q



P:
Compound: MnFeAu
Source: Alexandria via LeMat-Bulk
Functional: GGA-PBE
Structure: optimized geometry

* mass density: 11.40 g cm⁻³
* symmetry: I4mm, No. 107

Unit cell a=6.1136 b=6.1136 c=2.7830 alpha=76.85 beta=76.85 gamma=26.31
Last column: nearest neighbours and their distance in Å.
Element x y z (fractional)
Au 0.9972 0.9972 0.0028  4 Au 2.78, 4 Fe 2.78, 4 Mn 2.85
Fe 0.3272 0.3271 0.6728  4 Mn 2.64, 4 Fe 2.78, 4 Au 2.78
Mn 0.6756 0.6757 0.3243  4 Fe 2.64, 4 Mn 2.78, 4 Au 2.85



Q:
Compound: MnFeAu
Source: Alexandria via LeMat-Bulk
Functional: GGA-PBE
Structure: optimized geometry

* mass density: 11.36 g cm⁻³
* symmetry: P3m1, No. 156

Unit cell a=2.8108 b=2.8108 c=6.5719 alpha=90.00 beta=90.00 gamma=120.00
Last column: nearest neighbours and their distance in Å.
Element x y z (fractional)
Mn 0.3333 0.6667 0.0070  3 Fe 2.58, 6 Mn 2.81, 3 Au 2.82
Fe 0.0000 0.0000 0.3121  3 Mn 2.58, 3 Au 2.78, 6 Fe 2.81
Au 0.6667 0.3333 0.6563  3 Fe 2.78, 6 Au 2.81, 3 Mn 2.82



R:
Compound: MnFeAu
Source: Alexandria via LeMat-Bulk
Functional: GGA-PBE
Structure: optimized geometry

* mass density: 11.08 g cm⁻³
* symmetry: Pnma, No. 62

Unit cell a=2.7385 b=7.3117 c=9.2114 alpha=90.00 beta=90.00 gamma=90.00
Last column: nearest neighbours and their distance in Å.
Element x y z (fractional)
Mn 0.7500 0.9428 0.3822  4 Fe 2.57-2.83, 4 Mn 2.70-2.74, 3 Au 2.76-2.80
Mn 0.7500 0.5572 0.8822  4 Fe 2.57-2.83, 4 Mn 2.70-2.74, 3 Au 2.76-2.80
Mn 0.2500 0.4428 0.1178  4 Fe 2.57-2.83, 4 Mn 2.70-2.74, 3 Au 2.76-2.80
Mn 0.2500 0.0572 0.6178  4 Fe 2.57-2.83, 4 Mn 2.70-2.74, 3 Au 2.76-2.80
Fe 0.2500 0.2548 0.8820  4 Mn 2.57-2.83, 4 Au 2.62-2.72, 2 Fe 2.74
Fe 0.2500 0.2452 0.3820  4 Mn 2.57-2.83, 4 Au 2.62-2.72, 2 Fe 2.74
Fe 0.7500 0.7548 0.6180  4 Mn 2.57-2.83, 4 Au 2.62-2.72, 2 Fe 2.74
Fe 0.7500 0.7452 0.1180  4 Mn 2.57-2.83, 4 Au 2.62-2.72, 2 Fe 2.74
Au 0.2500 0.0663 0.1356  4 Fe 2.62-2.72, 2 Au 2.74, 3 Mn 2.76-2.80
Au 0.2500 0.4337 0.6356  4 Fe 2.62-2.72, 2 Au 2.74, 3 Mn 2.76-2.80
Au 0.7500 0.5663 0.3644  4 Fe 2.62-2.72, 2 Au 2.74, 3 Mn 2.76-2.80
Au 0.7500 0.9337 0.8644  4 Fe 2.62-2.72, 2 Au 2.74, 3 Mn 2.76-2.80



Least stable structure: R



P:
Compound: MnFe2AuN
Source: Alexandria via LeMat-Bulk
Functional: GGA-PBE
Structure: optimized geometry

* mass density: 10.36 g cm⁻³
* symmetry: P4/mmm, No. 123

Unit cell a=3.8740 b=3.8740 c=4.0318 alpha=90.00 beta=90.00 gamma=90.00
Last column: nearest neighbours and their distance in Å.
Element x y z (fractional)
Mn 0.0000 0.0000 0.5000  2 N 2.02
Au 0.5000 0.5000 0.5000  4 Mn 2.74, 8 Fe 2.80
Fe 0.0000 0.5000 0.0000  2 N 1.94
Fe 0.5000 0.0000 0.0000  2 N 1.94
N 0.0000 0.0000 0.0000  4 Fe 1.94, 2 Mn 2.02



Q:
Compound: MnFe2AuN
Source: Alexandria via LeMat-Bulk
Functional: GGA-PBE
Structure: optimized geometry

* mass density: 5.73 g cm⁻³
* symmetry: P4/mmm, No. 123

Unit cell a=4.7286 b=4.8920 c=4.7286 alpha=90.00 beta=90.00 gamma=90.00
Last column: nearest neighbours and their distance in Å.
Element x y z (fractional)
Mn 0.0000 0.5000 0.0000  2 Au 2.45
Au 0.0000 0.0000 0.0000  4 Fe 2.36, 2 Mn 2.45
Fe 0.0000 0.0000 0.5000  2 Au 2.36
Fe 0.5000 0.0000 0.0000  2 Au 2.36
N 0.5000 0.5000 0.5000  4 Mn 3.34, 8 Fe 3.40



Least stable structure: Q